First-principles (PBE) data for a relaxed structure of TlTc2RuCl, as listed in the Alexandria database.

Cell and atoms, written as CIF:
```
data_TlTc2RuCl
_space_group_name_H-M_alt 'P 1'
_space_group_IT_number 1
_space_group_name_Hall 'P 1'
_cell_length_a 4.744
_cell_length_b 5.461
_cell_length_c 4.744
_cell_angle_alpha 90.00
_cell_angle_beta 90.00
_cell_angle_gamma 90.00
loop_
_atom_site_label
_atom_site_type_symbol
_atom_site_fract_x
_atom_site_fract_y
_atom_site_fract_z
_atom_site_occupancy
Cl1 Cl 0.500 0.500 0.500 1
Ru1 Ru 0.000 0.000 0.000 1
Tl1 Tl 0.000 0.500 0.000 1
Tc1 Tc 0.000 0.000 0.500 1
Tc2 Tc 0.500 0.000 0.000 1
```

Computed properties:
calculated volume: 24.59 Å³/atom
SG: No. 123
uncorrected formation energy: 1.25 eV per atom

First-principles (PBE) data for a relaxed structure of TlTcRu2Cl, as listed in the Alexandria database.

Cell and atoms, written as CIF:
```
data_TlTcRu2Cl
_space_group_name_H-M_alt 'P 1'
_space_group_IT_number 1
_space_group_name_Hall 'P 1'
_cell_length_a 4.304
_cell_length_b 5.408
_cell_length_c 4.304
_cell_angle_alpha 90.00
_cell_angle_beta 90.00
_cell_angle_gamma 90.00
loop_
_atom_site_label
_atom_site_type_symbol
_atom_site_fract_x
_atom_site_fract_y
_atom_site_fract_z
_atom_site_occupancy
Cl1 Cl 0.000 0.000 0.000 1
Ru1 Ru 0.500 0.000 0.000 1
Ru2 Ru 0.000 0.000 0.500 1
Tl1 Tl 0.000 0.500 0.000 1
Tc1 Tc 0.500 0.500 0.500 1
```

Computed properties:
calculated volume: 20.04 Å³/atom
SG: No. 123
uncorrected formation energy: 1.53 eV per atom